## Sr2Zr3S8 (PBE-GGA)

Data for crystalline Sr2Zr3S8 at its relaxed geometry.

- Total moment: 0.0 μB/cell
- Final energy: -6.49 eV per atom

Structure (POSCAR):
```
Sr2Zr3S8
1.0
-6.717 -0.369 -4.580
-0.132 -2.832 -7.628
-0.143 -5.227 3.915
Zr S Sr
3 8 2
direct
0.737 0.263 0.000 Zr
0.263 0.737 0.000 Zr
0.000 0.000 0.500 Zr
0.338 0.875 0.398 S
0.662 0.125 0.602 S
0.611 0.611 0.951 S
0.389 0.389 0.049 S
0.875 0.338 0.398 S
0.896 0.896 0.097 S
0.125 0.662 0.602 S
0.104 0.104 0.903 S
0.738 0.738 0.665 Sr
0.262 0.262 0.335 Sr
```


## PmZrO3 (PBE-GGA)

Data for crystalline PmZrO3 at its relaxed geometry.

- Total moment: 0.1 μB/cell
- Final energy: -8.69 eV per atom

Structure (POSCAR):
```
PmZrO3
1.0
-1.272 -4.987 -2.480
-5.367 -1.957 0.107
-3.183 0.106 -5.162
O Pm Zr
6 2 2
direct
0.555 0.217 0.260 O
0.032 0.445 0.740 O
0.968 0.555 0.260 O
0.783 0.032 0.740 O
0.217 0.968 0.260 O
0.445 0.783 0.740 O
0.364 0.364 0.908 Pm
0.636 0.636 0.092 Pm
0.848 0.848 0.457 Zr
0.152 0.152 0.543 Zr
```


| no. | calculated density (Mg/m³) |
| --- | --- |
| 1 | 3.441 |
| 2 | 6.559 |